VASP calculation (PBE+U) on a relaxed ErTl2Cr3F12 crystal.

Its total magnetization is 11.0 μB/f.u. For the raw total energy, the calculation gives -104.04 eV per cell.

abc: 7.736 7.736 7.736
angles: 59.62 59.62 59.62
Element x y z (fractional)
Er1 0.000 0.000 0.000
Tl1 0.408 0.408 0.408
Tl2 0.592 0.592 0.592
Cr1 0.000 0.000 0.500
Cr2 0.000 0.500 0.000
Cr3 0.500 0.000 0.000
F1 0.070 0.070 0.669
F2 0.070 0.669 0.070
F3 0.084 0.680 0.680
F4 0.320 0.320 0.916
F5 0.320 0.916 0.320
F6 0.331 0.930 0.930
F7 0.669 0.070 0.070
F8 0.680 0.084 0.680
F9 0.680 0.680 0.084
F10 0.916 0.320 0.320
F11 0.930 0.331 0.930
F12 0.930 0.930 0.331